BeTlTe2, relaxed, DFT GGA-PBE; formation energy without anion corrections = 0.050 eV per atom; SG = No. 99; D(E_F) = 0.4448 states/eV/atom; excess energy over the best structure of this formula in the dataset = 217 meV per atom; calculated density = 6.57 g cm⁻³
1.0
-3.3624 0.4349 -1.1867
-0.4169 -3.5656 -0.1255
-3.0484 0.0516 8.6566
Be Tl Te
1 1 2
Cartesian
-4.7991 -1.5161 7.6059
-1.3922 0.0236 3.9534
-2.6469 0.0448 7.5166
-2.5621 -1.5540 1.2534